# PmEuAgGe GGA-PBE relaxed
data_PmEuAgGe
_chemical_formula_sum 'Pm4 Eu4 Ag4 Ge4'
_symmetry_space_group_name_H-M 'F -4 3 m'
_symmetry_Int_Tables_number 216
_symmetry_space_group_name_Hall 'F -4 2 3'
_cell_length_a 7.438
_cell_length_b 7.438
_cell_length_c 7.438
_cell_angle_alpha 90.00
_cell_angle_beta 90.00
_cell_angle_gamma 90.00
loop_
_atom_site_label
_atom_site_type_symbol
_atom_site_fract_x
_atom_site_fract_y
_atom_site_fract_z
_atom_site_occupancy
Pm1 Pm 0.000 0.000 0.000 1
Eu1 Eu 0.000 0.000 0.500 1
Ag1 Ag 0.250 0.250 0.750 1
Ge1 Ge 0.250 0.250 0.250 1
# - E_tot: -6.14 eV per atom
# - Crystal system: cubic
# - Energy of formation from the pure elements: -0.516 eV/atom